Computed, not measured: an optimized crystal structure of PrAs2Pt at the GGA-PBE level of DFT.

a = 4.2490 Å, b = 4.2490 Å, c = 16.3616 Å
α = 90.00°, β = 90.00°, γ = 120.00°
Space group R-3m (No. 166, hexagonal axes)
Unique sites:
Pr 0.0000 0.0000 0.0000 x3
As 0.0000 0.0000 0.2258 x6
Pt 0.0000 0.0000 0.5000 x3

## Properties
Fermi-level density of states   7.42 states/eV/cell
Formation energy   -777 meV per atom